PBE Ta3Ir5, relaxed; electronic total energy = -10.58 eV/atom; Fermi-level density of states = 6.7 states/eV per cell; excess energy over the best structure of this formula in the dataset = 0.0 meV per atom; ΔE_f = -0.60 eV/atom; volume = 15.72 A^3/atom
1.0
5.6249 -0.0017 0.0000
0.2124 5.6209 0.0000
0.0000 0.0000 3.9776
Ir Ta
5 3
Cartesian
0.0000 0.0000 0.0000
0.1062 2.8105 0.0000
2.8125 -0.0008 0.0000
4.2313 1.4460 1.9888
1.6060 4.1732 1.9888
2.9186 2.8096 0.0000
1.3398 1.2898 1.9888
4.4975 4.3294 1.9888


PBE ReTc5, relaxed; electronic total energy = -10.64 eV/atom; Fermi-level density of states = 6.5 states/eV per cell; excess energy over the best structure of this formula in the dataset = 71.0 meV per atom; ΔE_f = 0.07 eV/atom; volume = 14.69 A^3/atom
1.0
-1.6507 -0.8835 -2.0107
1.9034 -1.8304 -0.7583
-4.6574 -7.8574 7.2759
Re Tc
1 5
Cartesian
0.1264 -1.3569 -1.3845
-3.8766 -6.5402 6.0561
-0.7808 -1.3172 1.2197
-2.9766 -6.5920 3.4631
-1.4280 -3.9793 1.0437
-2.3287 -3.9287 3.6379


PBE Nb3Tl2O8, relaxed; electronic total energy = -7.83 eV/atom; Fermi-level density of states = 2.0 states/eV per cell; ΔE_f (raw) = -2087 meV/atom; volume = 17.45 A^3/atom
1.0
-2.6458 1.0784 4.5198
-5.0283 1.7205 -3.3539
1.4259 -7.7001 -0.2003
Nb Tl O
3 2 8
Cartesian
-1.3229 0.5392 2.2599
-1.3592 0.4651 -0.9066
-3.6691 1.2555 -2.4474
-4.7454 -1.2644 0.5783
-1.5027 -3.6368 0.3872
-0.9900 -5.5430 -1.3593
-5.2581 0.6419 2.3248
-3.7081 -4.7953 -2.7882
-2.5400 -0.1059 3.7537
-5.0790 0.6908 -1.1460
-2.3226 -0.2524 0.6926
-3.9255 -4.6488 0.2729
-1.1691 -5.5920 2.1115


PBE ScAs2Ir, relaxed; electronic total energy = -6.73 eV/atom; Fermi-level density of states = 0.6 states/eV per cell; excess energy over the best structure of this formula in the dataset = 53.4 meV per atom; ΔE_f = -0.60 eV/atom; volume = 18.82 A^3/atom
1.0
4.0239 0.0000 0.0000
0.0000 4.1789 0.0215
0.0000 0.7863 4.4812
As Ir Sc
2 1 1
Cartesian
0.0000 0.2842 0.0289
0.0000 2.1984 2.2224
2.0120 1.2413 1.1257
2.0120 3.7239 3.3770


PBE TaAs3Pb, relaxed; electronic total energy = -4.09 eV/atom; Fermi-level density of states = 6.7 states/eV per cell; excess energy over the best structure of this formula in the dataset = 1648.1 meV per atom; ΔE_f = 1.81 eV/atom; volume = 27.77 A^3/atom
1.0
-4.0420 1.7767 -2.7059
-1.1799 -4.8396 -1.4152
-3.0144 -0.4881 4.1823
Pb As Ta
1 3 1
Cartesian
0.0000 0.0000 0.0000
-0.5899 -2.4198 -0.7076
-1.5072 -0.2441 2.0912
-2.0210 0.8884 -1.3530
-4.1181 -1.7755 0.0306


PBE Er2SiRu, relaxed; electronic total energy = -6.46 eV/atom; Fermi-level density of states = 2.1 states/eV per cell; excess energy over the best structure of this formula in the dataset = 131.7 meV per atom; ΔE_f (raw) = -505 meV/atom; volume = 20.09 A^3/atom
1.0
-3.2684 0.8515 -0.8320
-0.0340 -2.4969 -2.4216
-2.2727 -4.3299 4.4965
Ru Si Er
1 1 2
Cartesian
-1.6512 -0.8227 -1.6268
-2.7875 -2.9877 0.6214
-1.7217 -3.2802 3.4064
-0.5510 -1.0497 1.0901